a:
Below is a relaxed Ac2CeEr crystal, with properties calculated at the GGA-PBE level.

Properties
space group = P4/mmm (123)
total moment = 1.18 Bohr magnetons per cell

CIF file:
```
data_Ac2CeEr
_symmetry_space_group_name_H-M 'P 1'
_symmetry_Int_Tables_number 1
_cell_length_a 3.782
_cell_length_b 3.782
_cell_length_c 10.370
_cell_angle_alpha 90.00
_cell_angle_beta 90.00
_cell_angle_gamma 90.00
loop_
_symmetry_equiv_pos_as_xyz
'x,y,z'
loop_
_atom_site_label
_atom_site_fract_x
_atom_site_fract_y
_atom_site_fract_z
Ac1 0.000 0.000 0.249
Ac2 0.000 0.000 0.751
Ce1 0.500 0.500 0.500
Er1 0.500 0.500 0.000
```

---

b:
Below is a relaxed Ac2CeEr crystal, with properties calculated at the GGA-PBE level.

Properties
space group = P4/mmm (123)
total moment = 1.12 Bohr magnetons per cell

CIF file:
```
data_Ac2CeEr
_symmetry_space_group_name_H-M 'P 1'
_symmetry_Int_Tables_number 1
_cell_length_a 5.187
_cell_length_b 5.360
_cell_length_c 5.360
_cell_angle_alpha 90.00
_cell_angle_beta 90.00
_cell_angle_gamma 90.00
loop_
_symmetry_equiv_pos_as_xyz
'x,y,z'
loop_
_atom_site_label
_atom_site_fract_x
_atom_site_fract_y
_atom_site_fract_z
Er1 0.500 0.500 0.500
Ac1 0.000 0.500 0.000
Ac2 0.000 0.000 0.500
Ce1 0.500 0.000 0.000
```

---

It is b that is the least stable of them.

---

a:
Below is a relaxed AcCeEu2 crystal, with properties calculated at the GGA-PBE level.

Properties
space group = P4/mmm (123)
total moment = 16.20 Bohr magnetons per cell

CIF file:
```
data_AcCeEu2
_symmetry_space_group_name_H-M 'P 1'
_symmetry_Int_Tables_number 1
_cell_length_a 4.292
_cell_length_b 4.292
_cell_length_c 8.643
_cell_angle_alpha 90.00
_cell_angle_beta 90.00
_cell_angle_gamma 90.00
loop_
_symmetry_equiv_pos_as_xyz
'x,y,z'
loop_
_atom_site_label
_atom_site_fract_x
_atom_site_fract_y
_atom_site_fract_z
Eu1 0.000 0.000 0.269
Eu2 0.000 0.000 0.731
Ac1 0.500 0.500 0.000
Ce1 0.500 0.500 0.500
```

---

b:
Below is a relaxed AcCeEu2 crystal, with properties calculated at the GGA-PBE level.

Properties
space group = Fm-3m (225)
total moment = 16.19 Bohr magnetons per cell

CIF file:
```
data_AcCeEu2
_symmetry_space_group_name_H-M 'P 1'
_symmetry_Int_Tables_number 1
_cell_length_a 6.100
_cell_length_b 6.100
_cell_length_c 6.100
_cell_angle_alpha 60.00
_cell_angle_beta 60.00
_cell_angle_gamma 60.00
loop_
_symmetry_equiv_pos_as_xyz
'x,y,z'
loop_
_atom_site_label
_atom_site_fract_x
_atom_site_fract_y
_atom_site_fract_z
Ce1 0.000 0.000 0.000
Ac1 0.500 0.500 0.500
Eu1 0.250 0.250 0.250
Eu2 0.750 0.750 0.750
```

---

It is b that is the least stable of them.